An optimized crystal structure of KGa2Ag3. Source: Alexandria via LeMat-Bulk, functional GGA-PBE.

Cell lengths 7.1410, 7.1410, 5.5572 Å; angles 90.00, 90.00, 76.69 degrees
Last column: nearest neighbours and their distance in Å.
Atoms (fractional coordinates):
K: 0.1630 0.8370 0.7500  9 Ag 3.46-3.71, 4 Ga 3.82
K: 0.8370 0.1630 0.2500  9 Ag 3.46-3.71, 4 Ga 3.82
Ga: 0.2905 0.2905 0.0000  6 Ag 2.67-2.78, 2 Ga 2.78
Ga: 0.2905 0.2905 0.5000  6 Ag 2.67-2.78, 2 Ga 2.78
Ga: 0.7095 0.7095 0.0000  6 Ag 2.67-2.78, 2 Ga 2.78
Ga: 0.7095 0.7095 0.5000  6 Ag 2.67-2.78, 2 Ga 2.78
Ag: 0.0289 0.5656 0.2500  4 Ga 2.67-2.76, 1 Ag 2.93
Ag: 0.4344 0.9711 0.2500  4 Ga 2.67-2.76, 1 Ag 2.93
Ag: 0.4400 0.5600 0.2500  4 Ga 2.78, 4 Ag 2.93-2.98
Ag: 0.5600 0.4400 0.7500  4 Ga 2.78, 4 Ag 2.93-2.98
Ag: 0.5656 0.0289 0.7500  4 Ga 2.67-2.76, 1 Ag 2.93
Ag: 0.9711 0.4344 0.7500  4 Ga 2.67-2.76, 1 Ag 2.93

Summary:
DOS at the Fermi energy	2.15	states/eV/f.u.
final energy	-2.708	eV/atom
DFT formation energy	-91	meV/atom



An optimized crystal structure of LiEr2Sn. Source: Alexandria via LeMat-Bulk, functional GGA-PBE.

Cell lengths 5.1706, 5.1706, 5.1706 Å; angles 60.00, 60.00, 60.00 degrees
Last column: nearest neighbours and their distance in Å.
Atoms (fractional coordinates):
Li: 0.0000 0.0000 0.0000  8 Er 3.17
Er: 0.2500 0.2500 0.2500  4 Sn 3.17, 4 Li 3.17
Er: 0.7500 0.7500 0.7500  4 Sn 3.17, 4 Li 3.17
Sn: 0.5000 0.5000 0.5000  8 Er 3.17

Summary:
DOS at the Fermi energy	3.38	states/eV/f.u.
final energy	-4.145	eV/atom
DFT formation energy	-385	meV/atom



An optimized crystal structure of SrLiCd2Au. Source: Alexandria via LeMat-Bulk, functional GGA-PBE.

Cell lengths 7.3851, 7.3851, 7.3851 Å; angles 146.14, 145.72, 48.95 degrees
Last column: nearest neighbours and their distance in Å.
Atoms (fractional coordinates):
Sr: 0.0000 0.0000 0.0000  4 Au 3.28, 4 Cd 3.48
Li: 0.2740 0.7740 0.5000  2 Au 2.83, 6 Cd 2.97-3.06
Cd: 0.6239 0.6239 0.0000  1 Au 2.86, 2 Cd 2.92, 2 Li 2.97
Cd: 0.7703 0.2703 0.5000  2 Au 2.89, 2 Cd 2.92, 4 Li 3.06
Au: 0.4113 0.4113 0.0000  2 Li 2.83, 3 Cd 2.86-2.89

Summary:
DOS at the Fermi energy	2.64	states/eV/f.u.
final energy	-2.168	eV/atom
DFT formation energy	-427	meV/atom



An optimized crystal structure of Tb2SmAu. Source: Alexandria via LeMat-Bulk, functional GGA-PBE.

Cell lengths 10.0957, 10.0957, 10.0957 Å; angles 21.54, 21.54, 21.54 degrees
Last column: nearest neighbours and their distance in Å.
Atoms (fractional coordinates):
Tb: 0.0000 0.0000 0.0000  3 Au 2.99
Tb: 0.1962 0.1962 0.1962  3 Au 2.96
Sm: 0.4321 0.4321 0.4321  6 Tb 3.61-3.64, 6 Sm 3.77
Au: 0.5975 0.5975 0.5975  6 Tb 2.96-2.99

Summary:
DOS at the Fermi energy	5.23	states/eV/f.u.
final energy	-4.595	eV/atom
DFT formation energy	-281	meV/atom



An optimized crystal structure of CdFeSeN2. Source: Alexandria via LeMat-Bulk, functional GGA-PBE.

Cell lengths 3.6944, 3.6944, 5.3478 Å; angles 90.00, 90.00, 90.00 degrees
Last column: nearest neighbours and their distance in Å.
Atoms (fractional coordinates):
Cd: 0.0000 0.0000 0.0000  4 Se 2.61
Fe: 0.5000 0.5000 0.5000  4 N 1.85
Se: 0.5000 0.5000 0.0000  4 Cd 2.61, 2 Fe 2.67
N: 0.0000 0.5000 0.5000  2 Fe 1.85
N: 0.5000 0.0000 0.5000  2 Fe 1.85

Summary:
raw formation energy	0.6879	eV per atom
DOS at the Fermi energy	3.93	states/eV/f.u.
final energy	-5.215	eV/atom



An optimized crystal structure of PmScGe2. Source: Alexandria via LeMat-Bulk, functional GGA-PBE.

Cell lengths 5.8851, 5.8851, 5.8851 Å; angles 44.90, 44.90, 44.90 degrees
Last column: nearest neighbours and their distance in Å.
Atoms (fractional coordinates):
Pm: 0.0000 0.0000 0.0000  6 Ge 3.03
Sc: 0.5000 0.5000 0.5000  6 Ge 2.81
Ge: 0.2350 0.2350 0.2350  3 Sc 2.81, 3 Pm 3.03
Ge: 0.7650 0.7650 0.7650  3 Sc 2.81, 3 Pm 3.03

Summary:
DOS at the Fermi energy	2.51	states/eV/f.u.
final energy	-5.768	eV/atom
DFT formation energy	-689	meV/atom